! PBE Pm7Y4Th, relaxed; values from VASP
! Fermi-level density of states: 1.38 states/eV per atom
! relative energy among the computed polymorphs: 0 meV/atom
! crystal system: triclinic
&SYSTEM
  ibrav = 0, nat = 12, ntyp = 3
/
ATOMIC_SPECIES
Pm 145.00 Pm.upf
Y 88.91 Y.upf
Th 232.04 Th.upf
ATOMIC_POSITIONS angstrom
Pm 4.583 2.447 10.061
Pm 5.444 -0.694 5.980
Pm 2.639 -0.063 8.212
Pm 7.387 1.816 7.828
Pm 4.798 0.209 12.815
Pm 3.245 -0.915 1.390
Pm 5.229 1.544 3.226
Y 2.173 0.229 4.656
Y 4.159 2.726 6.437
Y 5.868 -0.973 9.604
Y 7.854 1.524 11.385
Th 0.000 0.000 0.000
CELL_PARAMETERS angstrom
6.491 -1.830 2.780
0.680 5.862 2.256
2.856 -2.279 11.004

! PBE ThAgBi2, relaxed; values from VASP
! Fermi-level density of states: 0.73 states/eV per atom
! crystal system: trigonal
&SYSTEM
  ibrav = 0, nat = 4, ntyp = 3
/
ATOMIC_SPECIES
Ag 107.87 Ag.upf
Bi 208.98 Bi.upf
Th 232.04 Th.upf
ATOMIC_POSITIONS angstrom
Ag 0.000 0.000 0.000
Bi -6.366 -1.586 -4.905
Bi -4.199 -5.822 -0.471
Th -5.282 -3.704 -2.688
CELL_PARAMETERS angstrom
-4.076 1.332 -1.215
-1.309 -0.419 -4.239
-5.180 -8.321 0.079

no.,DFT formation energy (kJ/mol of formula units),magnetic moment (μB/f.u.)
1,11.1,0.0
2,61.5,0.0